Record 1
## BaCdPt (meta-GGA SCAN)

Data for BaCdPt at its PBEsol-relaxed geometry.

Cell: 7.0754 7.0754 7.0754 Å, 90.00 90.00 90.00°
Fractional coordinates of all 12 atoms:
Ba 0.0000 0.0000 0.0000
Ba 0.0000 0.5000 0.5000
Ba 0.5000 0.0000 0.5000
Ba 0.5000 0.5000 0.0000
Cd 0.0000 0.0000 0.5000
Cd 0.0000 0.5000 0.0000
Cd 0.5000 0.0000 0.0000
Cd 0.5000 0.5000 0.5000
Pt 0.2500 0.2500 0.2500
Pt 0.2500 0.7500 0.7500
Pt 0.7500 0.2500 0.7500
Pt 0.7500 0.7500 0.2500

Summary:
**Space group**: F-43m, No. 216
**Energy relative to the elements**: -524 meV per atom

=====

Record 2
## AsIr2Se (meta-GGA SCAN)

Data for AsIr2Se at its PBEsol-relaxed geometry.

Cell: 2.9330 2.9330 7.7693 Å, 90.00 90.00 90.00°
Fractional coordinates of all 4 atoms:
As 0.0000 0.0000 0.0000
Ir 0.0000 0.0000 0.4495
Ir 0.5000 0.5000 0.1899
Se 0.5000 0.5000 0.6392

Summary:
**Space group**: P4mm, No. 99
**Energy above the most stable polymorph in this dataset**: 220 meV per atom
**Energy relative to the elements, uncorrected**: 0.2142 eV per atom

=====

Record 3
## Nb3PdPt (meta-GGA SCAN)

Data for Nb3PdPt at its PBEsol-relaxed geometry.

Cell: 4.8041 4.8041 4.8041 Å, 90.00 90.00 90.00°
Fractional coordinates of all 5 atoms:
Nb 0.0000 0.0000 0.5000
Nb 0.0000 0.5000 0.0000
Nb 0.5000 0.0000 0.0000
Pd 0.5000 0.5000 0.5000
Pt 0.0000 0.0000 0.0000

Summary:
**Space group**: Pm-3m, No. 221
**Energy relative to the elements**: 1027 meV per atom

=====

Record 4
## SrLa2Cl (meta-GGA SCAN)

Data for SrLa2Cl at its PBEsol-relaxed geometry.

Cell: 4.3637 4.3637 7.4133 Å, 90.00 90.00 90.00°
Fractional coordinates of all 4 atoms:
Sr 0.0000 0.0000 0.0000
La 0.0000 0.5000 0.5000
La 0.5000 0.0000 0.5000
Cl 0.5000 0.5000 0.0000

Summary:
**Space group**: P4/mmm, No. 123
**Energy above the most stable polymorph in this dataset**: 322 meV per atom
**Energy relative to the elements, uncorrected**: -0.4296 eV per atom

=====

no.,magnetization (μB/cell)
1,0.0
2,0.0
3,0.0
4,0.0